Computed, not measured: an optimized crystal structure of BePAu2 at the GGA-PBE level of DFT.

Cell lengths 3.4845, 3.6487, 5.2556 Å; angles 90.00, 90.06, 90.00 degrees
With the nearest neighbours (Å) after each atom.
Atoms (fractional coordinates):
Be 0.0000 0.0000 0.0000  2 P 2.13, 1 Au 2.33
P 0.9975 0.5000 0.7921  2 Be 2.13
Au 0.4984 0.5000 0.1466  2 P 2.55, 4 Be 2.63-2.64
Au 0.9981 0.0000 0.4434  1 Be 2.33, 2 P 2.59

Properties
E: -3.81 eV per atom
Relative energy among the computed polymorphs: 0.020 eV per atom
Density: 10.78 g/cm3

---

Computed, not measured: an optimized crystal structure of BePAu2 at the GGA-PBE level of DFT.

Cell lengths 8.3428, 8.3428, 8.3428 Å; angles 151.17, 151.17, 41.23 degrees
With the nearest neighbours (Å) after each atom.
Atoms (fractional coordinates):
Be 0.0000 0.0000 0.0000  4 Au 2.43
Be 0.7500 0.2500 0.5000  4 Au 2.43
P 0.2500 0.7500 0.5000  4 Au 2.45
P 0.5000 0.5000 0.0000  4 Au 2.45
Au 0.1189 0.6250 0.9939  2 Be 2.43, 2 P 2.45
Au 0.3750 0.3689 0.4939  2 Be 2.43, 2 P 2.45
Au 0.6311 0.1250 0.0061  2 Be 2.43, 2 P 2.45
Au 0.8750 0.8811 0.5061  2 Be 2.43, 2 P 2.45

Properties
E: -3.74 eV per atom
Relative energy among the computed polymorphs: 0.084 eV per atom
Density: 10.69 g/cm3

---

Computed, not measured: an optimized crystal structure of BeP2Au at the GGA-PBE level of DFT.

Cell lengths 3.2634, 3.2634, 6.5411 Å; angles 90.00, 90.00, 90.00 degrees
With the nearest neighbours (Å) after each atom.
Atoms (fractional coordinates):
Be 0.0000 0.0000 0.0000  4 Au 2.31
P 0.0000 0.5000 0.5000  4 P 2.31
P 0.5000 0.0000 0.5000  4 P 2.31
Au 0.5000 0.5000 0.0000  4 Be 2.31

Properties
E: -4.04 eV per atom
Density: 6.39 g/cm3

---

Computed, not measured: an optimized crystal structure of BeP2Au at the GGA-PBE level of DFT.

Cell lengths 5.8131, 5.8131, 5.8131 Å; angles 145.03, 138.90, 55.04 degrees
With the nearest neighbours (Å) after each atom.
Atoms (fractional coordinates):
Be 0.0000 0.0000 0.0000  4 P 2.24
P 0.1360 0.6360 0.5000  2 Be 2.24, 2 Au 2.48
P 0.8640 0.3640 0.5000  2 Be 2.24, 2 Au 2.48
Au 0.5000 0.5000 0.0000  4 P 2.48, 4 Be 2.69

Properties
E: -4.22 eV per atom
Density: 6.05 g/cm3

---

Computed, not measured: an optimized crystal structure of BeP2Au at the GGA-PBE level of DFT.

Cell lengths 4.6287, 4.6287, 4.6287 Å; angles 128.39, 128.39, 75.99 degrees
With the nearest neighbours (Å) after each atom.
Atoms (fractional coordinates):
Be 0.0000 0.0000 0.0000  4 Au 2.72, 8 P 2.72-2.85
P 0.2500 0.7500 0.5000  4 Be 2.72, 4 P 2.72, 4 Au 2.85
P 0.5000 0.5000 0.0000  4 P 2.72, 4 Au 2.72, 4 Be 2.85
Au 0.7500 0.2500 0.5000  4 Be 2.72, 8 P 2.72-2.85

Properties
E: -3.85 eV per atom
Density: 7.51 g/cm3

---

Computed, not measured: an optimized crystal structure of BePAu2 at the GGA-PBE level of DFT.

Cell lengths 5.0022, 5.0022, 5.0022 Å; angles 134.96, 134.96, 65.59 degrees
With the nearest neighbours (Å) after each atom.
Atoms (fractional coordinates):
Be 0.0000 0.0000 0.0000  8 Au 2.71-2.84, 4 P 2.84
P 0.2500 0.7500 0.5000  8 Au 2.71-2.84, 4 Be 2.84
Au 0.5000 0.5000 0.0000  4 Be 2.71, 4 Au 2.84, 4 P 2.84
Au 0.7500 0.2500 0.5000  4 P 2.71, 4 Au 2.84, 4 Be 2.84

Properties
E: -3.60 eV per atom
Relative energy among the computed polymorphs: 0.226 eV per atom
Density: 11.67 g/cm3

---

Computed, not measured: an optimized crystal structure of BePAu2 at the GGA-PBE level of DFT.

Cell lengths 4.1277, 4.1277, 5.7724 Å; angles 103.02, 103.02, 41.41 degrees
With the nearest neighbours (Å) after each atom.
Atoms (fractional coordinates):
Be 0.0000 0.0000 0.0000  4 Au 2.38
P 0.5000 0.5000 0.5000  6 Au 2.66-2.76, 2 P 2.92
Au 0.2750 0.2750 0.7832  2 Be 2.38, 1 P 2.66
Au 0.7250 0.7250 0.2168  2 Be 2.38, 1 P 2.66

Properties
E: -3.75 eV per atom
Relative energy among the computed polymorphs: 0.079 eV per atom
Density: 11.41 g/cm3

---

Computed, not measured: an optimized crystal structure of BePAu2 at the GGA-PBE level of DFT.

Cell lengths 2.7885, 2.7885, 7.9418 Å; angles 90.00, 90.00, 90.00 degrees
With the nearest neighbours (Å) after each atom.
Atoms (fractional coordinates):
Be 0.0000 0.0000 0.0000  8 Au 2.53, 4 Be 2.79
P 0.0000 0.0000 0.5000  4 P 2.79, 8 Au 3.09
Au 0.5000 0.5000 0.1998  4 Be 2.53, 4 Au 2.79
Au 0.5000 0.5000 0.8002  4 Be 2.53, 4 Au 2.79

Properties
E: -3.74 eV per atom
Relative energy among the computed polymorphs: 0.091 eV per atom
Density: 11.67 g/cm3

---

Computed, not measured: an optimized crystal structure of BePAu2 at the GGA-PBE level of DFT.

Cell lengths 4.4981, 4.4981, 4.4981 Å; angles 60.00, 60.00, 60.00 degrees
With the nearest neighbours (Å) after each atom.
Atoms (fractional coordinates):
Be 0.0000 0.0000 0.0000  4 Au 2.75, 4 P 2.75
P 0.2500 0.2500 0.2500  4 Be 2.75, 4 Au 2.75
Au 0.5000 0.5000 0.5000  4 Au 2.75, 4 P 2.75
Au 0.7500 0.7500 0.7500  4 Au 2.75, 4 Be 2.75

Properties
E: -3.43 eV per atom
Relative energy among the computed polymorphs: 0.397 eV per atom
Density: 11.20 g/cm3

---

Computed, not measured: an optimized crystal structure of BeP2Au at the GGA-PBE level of DFT.

Cell lengths 2.8436, 2.8436, 7.9483 Å; angles 90.00, 90.00, 103.78 degrees
With the nearest neighbours (Å) after each atom.
Atoms (fractional coordinates):
Be 0.0000 0.0000 0.0000  4 P 2.17
P 0.5000 0.5000 0.1614  2 Be 2.17
P 0.5000 0.5000 0.8386  2 Be 2.17
Au 0.0000 0.0000 0.5000  4 Au 2.84

Properties
E: -4.06 eV per atom
Density: 7.13 g/cm3

---

Computed, not measured: an optimized crystal structure of BeP2Au at the GGA-PBE level of DFT.

Cell lengths 3.4214, 3.4214, 5.1317 Å; angles 90.00, 90.00, 90.00 degrees
With the nearest neighbours (Å) after each atom.
Atoms (fractional coordinates):
Be 0.0000 0.0000 0.0000  2 Au 2.57, 8 P 2.64
P 0.5000 0.5000 0.2038  1 P 2.09
P 0.5000 0.5000 0.7962  1 P 2.09
Au 0.0000 0.0000 0.5000  2 Be 2.57, 8 P 2.86

Properties
E: -4.08 eV per atom
Density: 7.41 g/cm3

---

Computed, not measured: an optimized crystal structure of BePAu2 at the GGA-PBE level of DFT.

Cell lengths 3.6625, 3.2596, 5.3571 Å; angles 90.00, 97.89, 90.00 degrees
With the nearest neighbours (Å) after each atom.
Atoms (fractional coordinates):
Be 0.0000 0.0000 0.0000  4 Au 2.40, 2 P 2.68
P 0.0000 0.0000 0.5000  2 Be 2.68, 8 Au 2.71-2.97
Au 0.3894 0.5000 0.2316  2 Be 2.40
Au 0.6106 0.5000 0.7684  2 Be 2.40

Properties
E: -3.66 eV per atom
Relative energy among the computed polymorphs: 0.168 eV per atom
Density: 11.37 g/cm3

---

| no. | formation energy (meV/atom) |
| --- | --- |
| 1 | 116 |
| 2 | 180 |
| 3 | 419 |
| 4 | 237 |
| 5 | 608 |
| 6 | 322 |
| 7 | 175 |
| 8 | 187 |
| 9 | 493 |
| 10 | 398 |
| 11 | 372 |
| 12 | 264 |